This record from Alexandria via LeMat-Bulk describes a geometry-optimized BeCrSi2Au structure. The functional is PBE-GGA.

Cell lengths 4.370, 4.370, 4.983 Å; angles 90.00, 90.00, 90.00 degrees
Positions (direct):
1 Be 0.000 0.000 0.000
2 Cr 0.500 0.500 0.500
3 Si 0.000 0.500 0.500
4 Si 0.500 0.000 0.500
5 Au 0.500 0.500 0.000

Results
Magnetic moment: 1.3 μB/f.u.
Uncorrected formation energy: 0.989 eV per atom
SG: P4/mmm
Density: 5.5 g/cm³
Crystal system: tetragonal